Entry from Alexandria via LeMat-Bulk: a relaxed ReTc2Hg crystal (GGA-PBEsol).

Values from the calculation:
VASP energy in eV/atom: -8.58
Magnetic moment in μB/f.u.: 0.00
Calculated formation energy in eV per formula unit: 2.094

Cell: 5.5563 7.7470 2.8230 Å, 90.00 90.00 90.00°
Element x y z (fractional)
Re1 0.0000 0.0000 0.0000
Re2 0.5000 0.5000 0.0000
Tc1 0.2500 0.2500 0.5000
Tc2 0.2500 0.7500 0.5000
Tc3 0.7500 0.2500 0.5000
Tc4 0.7500 0.7500 0.5000
Hg1 0.0000 0.5000 0.0000
Hg2 0.5000 0.0000 0.0000